Li2ErPb3 | GGA-PBE | optimized geometry

```
data_Li2ErPb3
_cell_length_a 5.028
_cell_length_b 15.546
_cell_length_c 7.547
_cell_angle_alpha 90.00
_cell_angle_beta 90.00
_cell_angle_gamma 90.00
_symmetry_space_group_name_H-M 'C m m m'
_symmetry_Int_Tables_number 65
_symmetry_space_group_name_Hall '-C 2 2'
loop_
_atom_site_label
_atom_site_type_symbol
_atom_site_fract_x
_atom_site_fract_y
_atom_site_fract_z
_atom_site_occupancy
Li1 Li 0.000 0.000 0.000 1
Li2 Li 0.000 0.000 0.500 1
Li3 Li 0.000 0.337 0.000 1
Er1 Er 0.000 0.340 0.500 1
Pb1 Pb 0.000 0.165 0.230 1
Pb2 Pb 0.000 0.500 0.231 1
```

Computed properties:
total energy = -3.563 eV per atom
energy of formation = -180 kJ/mol of formula units